No. 1
This record from Alexandria via LeMat-Bulk describes Sc2BeRe after structural relaxation. The functional is PBE.

Output
As for the symmetry: I-42d (122). As for the calculated total energy: -6.758 eV per atom. The calculation puts the size of the total moment at 0.00 Bohr magnetons per cell.

Lattice parameters (Å, degrees): 7.1691 7.1691 5.7194 51.19 51.19 90.00
Atoms (fractional coordinates):
Be 0.5000 0.5000 0.0000
Sc 0.6066 0.1250 0.2500
Sc 0.1434 0.6250 0.2500
Be 0.2500 0.7500 0.5000
Sc 0.8750 0.8566 0.7500
Re 0.0000 0.0000 0.0000
Re 0.7500 0.2500 0.5000
Sc 0.3750 0.3934 0.7500

No. 2
This record from Alexandria via LeMat-Bulk describes TiVReRh after structural relaxation. The functional is PBE.

Output
As for the symmetry: F-43m (216). As for the calculated total energy: -9.643 eV per atom. The calculation puts the size of the total moment at 0.00 Bohr magnetons per cell.

Lattice parameters (Å, degrees): 4.3416 4.3416 4.3416 60.00 60.00 60.00
Atoms (fractional coordinates):
V 0.7500 0.7500 0.7500
Re 0.0000 0.0000 0.0000
Ti 0.2500 0.2500 0.2500
Rh 0.5000 0.5000 0.5000

No. 3
This record from Alexandria via LeMat-Bulk describes P2Cl2O after structural relaxation. The functional is PBE.

Output
As for the symmetry: P4/mbm (127). The calculation puts the formation energy from raw total energies at 67 meV per atom. As for the calculated total energy: -3.828 eV per atom. The calculation puts the size of the total moment at 0.00 Bohr magnetons per cell.

Lattice parameters (Å, degrees): 5.9852 5.9852 4.6495 90.00 90.00 90.00
Atoms (fractional coordinates):
P 0.7657 0.2657 0.0000
P 0.2343 0.7343 0.0000
Cl 0.8069 0.3069 0.5000
Cl 0.3069 0.1931 0.5000
O 0.0000 0.0000 0.0000
Cl 0.1931 0.6931 0.5000
P 0.2657 0.2343 0.0000
P 0.7343 0.7657 0.0000
Cl 0.6931 0.8069 0.5000
O 0.5000 0.5000 0.0000

Copy entry 2 word for word.
This record from Alexandria via LeMat-Bulk describes TiVReRh after structural relaxation. The functional is PBE.

Output
As for the symmetry: F-43m (216). As for the calculated total energy: -9.643 eV per atom. The calculation puts the size of the total moment at 0.00 Bohr magnetons per cell.

Lattice parameters (Å, degrees): 4.3416 4.3416 4.3416 60.00 60.00 60.00
Atoms (fractional coordinates):
V 0.7500 0.7500 0.7500
Re 0.0000 0.0000 0.0000
Ti 0.2500 0.2500 0.2500
Rh 0.5000 0.5000 0.5000